1 | Computed, not measured: Sr2Zn2Cd after structural relaxation at the PBEsol level of DFT.

Symmetry = P4/mbm (127)

Unit cell a=4.360 b=7.896 c=7.896 alpha=90.00 beta=90.00 gamma=90.00
Positions (direct):
Sr 0.500 0.185 0.685
Sr 0.500 0.685 0.815
Sr 0.500 0.815 0.315
Sr 0.500 0.315 0.185
Zn 0.000 0.387 0.887
Zn 0.000 0.887 0.613
Zn 0.000 0.613 0.113
Zn 0.000 0.113 0.387
Cd 0.000 0.000 0.000
Cd 0.000 0.500 0.500

---

2 | Computed, not measured: Sr2Zn2Cd after structural relaxation at the PBEsol level of DFT.

Symmetry = I4/mmm (139)

Unit cell a=3.808 b=3.808 c=10.008 alpha=100.97 beta=100.97 gamma=90.00
Positions (direct):
Sr 0.392 0.392 0.784
Sr 0.608 0.608 0.216
Zn 0.250 0.750 0.500
Zn 0.750 0.250 0.500
Cd 0.000 0.000 0.000

---

Each structure's energy above the most stable one, in meV/atom: 1 0; 2 100.

---

1 | Computed, not measured: TaCd2Tc after structural relaxation at the PBEsol level of DFT.

Symmetry = C2/m (12)

Unit cell a=2.745 b=5.444 c=5.437 alpha=59.96 beta=84.27 gamma=78.49
Positions (direct):
Cd 0.000 0.500 0.500
Cd 0.000 0.000 0.500
Ta 0.500 0.000 0.000
Tc 0.500 0.500 0.000

---

2 | Computed, not measured: TaCd2Tc after structural relaxation at the PBEsol level of DFT.

Symmetry = Pmmm (47)

Unit cell a=3.433 b=4.245 c=4.723 alpha=90.00 beta=90.00 gamma=90.00
Positions (direct):
Cd 0.000 0.000 0.000
Cd 0.500 0.500 0.000
Ta 0.500 0.000 0.500
Tc 0.000 0.500 0.500

---

3 | Computed, not measured: TaCd2Tc after structural relaxation at the PBEsol level of DFT.

Symmetry = I4/mmm (139)

Unit cell a=3.874 b=3.874 c=5.326 alpha=111.33 beta=111.33 gamma=90.00
Positions (direct):
Cd 0.750 0.250 0.500
Cd 0.250 0.750 0.500
Ta 0.500 0.500 0.000
Tc 0.000 0.000 0.000

---

4 | Computed, not measured: TaCd2Tc after structural relaxation at the PBEsol level of DFT.

Symmetry = Cmmm (65)

Unit cell a=2.749 b=5.346 c=5.346 alpha=118.77 beta=90.00 gamma=90.00
Positions (direct):
Cd 0.000 0.500 0.000
Cd 0.000 0.000 0.500
Ta 0.500 0.000 0.000
Tc 0.500 0.500 0.500

---

Each structure's energy above the most stable one, in meV/atom: 1 80; 2 0; 3 12; 4 95.

---

1 | Computed, not measured: TaCd2Tc after structural relaxation at the PBEsol level of DFT.

Symmetry = Cm (8)

Unit cell a=2.750 b=4.956 c=5.330 alpha=95.55 beta=90.00 gamma=106.11
Positions (direct):
Cd 0.997 0.994 0.012
Cd 0.749 0.499 0.238
Ta 0.501 0.001 0.527
Tc 0.253 0.507 0.723

---

2 | Computed, not measured: TaCd2Tc after structural relaxation at the PBEsol level of DFT.

Symmetry = Pmmm (47)

Unit cell a=2.765 b=4.552 c=5.464 alpha=90.00 beta=90.00 gamma=90.00
Positions (direct):
Cd 0.000 0.000 0.746
Cd 0.000 0.000 0.254
Ta 0.500 0.500 0.000
Tc 0.500 0.500 0.500

---

Each structure's energy above the most stable one, in meV/atom: 1 0; 2 35.

---

1 | Computed, not measured: Ta2CdTe after structural relaxation at the PBEsol level of DFT.

Symmetry = C2/m (12)

Unit cell a=3.300 b=4.999 c=5.054 alpha=98.16 beta=109.06 gamma=90.00
Positions (direct):
Cd 0.500 0.000 0.000
Te 0.000 0.500 0.000
Ta 0.249 0.241 0.497
Ta 0.751 0.759 0.503

---

2 | Computed, not measured: Ta2CdTe after structural relaxation at the PBEsol level of DFT.

Symmetry = Pmmm (47)

Unit cell a=3.444 b=4.627 c=4.859 alpha=90.00 beta=90.00 gamma=90.00
Positions (direct):
Cd 0.000 0.500 0.500
Te 0.500 0.500 0.000
Ta 0.000 0.000 0.000
Ta 0.500 0.000 0.500

---

Each structure's energy above the most stable one, in meV/atom: 1 0; 2 55.